This record from the Alexandria database describes a relaxed structure of Mg5InAu. The functional is PBE.

Lattice parameters (Å, degrees): 4.6328 4.6328 7.2559 90.00 90.00 90.00
Element x y z (fractional)
1 Mg 0.0000 0.0000 0.0000
2 Mg 0.0000 0.5000 0.2917
3 Mg 0.0000 0.5000 0.7083
4 Mg 0.5000 0.0000 0.2917
5 Mg 0.5000 0.0000 0.7083
6 In 0.5000 0.5000 0.0000
7 Au 0.0000 0.0000 0.5000

Output
**Energy above the lowest structure with this stoichiometry**: 0 meV per atom
**DOS at the Fermi energy**: 3.78 states/eV/f.u.
**Energy**: -2.255 eV/atom
**Energy relative to the elements**: -1.79 eV/f.u.
**ρ**: 4.62 g cm⁻³
**Size of the total moment**: 0.000 μB/atom